Entry 1:
Below is crystalline CeMgO2 at its relaxed geometry, with properties calculated at the GGA-PBE level.

```
data_CeMgO2
_chemical_formula_sum 'Ce1 Mg1 O2'
_symmetry_space_group_name_H-M 'P 1'
_symmetry_Int_Tables_number 1
_cell_length_a 3.149
_cell_length_b 3.149
_cell_length_c 6.048
_cell_angle_alpha 74.91
_cell_angle_beta 74.91
_cell_angle_gamma 60.00
loop_
_symmetry_equiv_pos_as_xyz
'x,y,z'
loop_
_atom_site_label
_atom_site_fract_x
_atom_site_fract_y
_atom_site_fract_z
Ce1 0.500 0.500 0.500
Mg1 0.000 0.000 0.000
O1 0.734 0.734 0.798
O2 0.266 0.266 0.202
```

Calculated values
E_form (uncorrected) in eV per formula unit: -10.37
N(E_F) in states/eV/atom: 0.5374
Crystal system: trigonal
SG: R-3m (166)
V in Å³/cell: 49.55
Density in g cm⁻³: 6.58

---

Entry 2:
Below is crystalline TaCd2Cl at its relaxed geometry, with properties calculated at the GGA-PBE level.

```
data_TaCd2Cl
_chemical_formula_sum 'Ta1 Cd2 Cl1'
_symmetry_space_group_name_H-M 'P 1'
_symmetry_Int_Tables_number 1
_cell_length_a 2.961
_cell_length_b 4.812
_cell_length_c 5.618
_cell_angle_alpha 90.00
_cell_angle_beta 90.00
_cell_angle_gamma 90.00
loop_
_symmetry_equiv_pos_as_xyz
'x,y,z'
loop_
_atom_site_label
_atom_site_fract_x
_atom_site_fract_y
_atom_site_fract_z
Cd1 0.000 0.000 0.000
Cl1 0.500 0.000 0.500
Cd2 0.500 0.500 0.000
Ta1 0.000 0.500 0.500
```

Calculated values
E_form (uncorrected) in eV per formula unit: 1.52
N(E_F) in states/eV/atom: 0.6532
Crystal system: orthorhombic
SG: Pmmm (47)
Energy relative to the lowest polymorph listed for this composition in meV/atom: 415
V in Å³/cell: 80.05
Density in g cm⁻³: 9.15

---

Entry 3:
Below is crystalline KTl2HgPd2 at its relaxed geometry, with properties calculated at the GGA-PBE level.

```
data_KTl2HgPd2
_chemical_formula_sum 'K1 Tl2 Hg1 Pd2'
_symmetry_space_group_name_H-M 'P 1'
_symmetry_Int_Tables_number 1
_cell_length_a 5.221
_cell_length_b 5.221
_cell_length_c 6.348
_cell_angle_alpha 90.00
_cell_angle_beta 90.00
_cell_angle_gamma 90.00
loop_
_symmetry_equiv_pos_as_xyz
'x,y,z'
loop_
_atom_site_label
_atom_site_fract_x
_atom_site_fract_y
_atom_site_fract_z
Pd1 0.000 0.500 0.000
Pd2 0.500 0.000 0.000
Tl1 0.500 0.500 0.241
Hg1 0.000 0.000 0.000
K1 0.000 0.000 0.500
Tl2 0.500 0.500 0.759
```

Calculated values
N(E_F) in states/eV/atom: 0.5111
Energy relative to the elements in eV/atom: -0.060
Crystal system: tetragonal
SG: P4/mmm (123)
V in Å³/cell: 173.02
Density in g cm⁻³: 8.27